# YAsRuSe2 GGA-PBE relaxed
# Crystal system = tetragonal
# DOS at the Fermi energy = 6.1 states/eV/cell
# Formation energy from raw total energies = 3.5 eV per formula unit
data_YAsRuSe2
_cell_length_a 5.359
_cell_length_b 5.359
_cell_length_c 5.440
_cell_angle_alpha 90.00
_cell_angle_beta 90.00
_cell_angle_gamma 90.00
_symmetry_space_group_name_H-M 'P 4/m m m'
_symmetry_Int_Tables_number 123
_symmetry_space_group_name_Hall '-P 4 2'
loop_
_atom_site_label
_atom_site_type_symbol
_atom_site_fract_x
_atom_site_fract_y
_atom_site_fract_z
Y1 Y 0.000 0.000 0.000
As1 As 0.000 0.000 0.500
Ru1 Ru 0.500 0.500 0.500
Se1 Se 0.000 0.500 0.000